VASP calculation (PBE) on a relaxed structure of KCuRh2.

Properties
offset from the most stable computed form = 0.503 eV per atom
uncorrected energy = -16.3 eV per cell
magnetic moment = 1.56 Bohr magnetons per cell
SG = I4/mmm (139)
ΔE_f = 0.902 eV per atom

Unit cell a=5.2767 b=5.2767 c=5.2767 alpha=135.83 beta=135.83 gamma=64.24
Last column: nearest neighbours and their distance in Å.
Element x y z (fractional)
Cu: 0.2500 0.7500 0.5000  4 K 2.81, 8 Rh 2.99
K: 0.7500 0.2500 0.5000  4 Cu 2.81, 8 Rh 2.99
Rh: 0.0000 0.0000 0.0000  4 Rh 2.81, 4 Cu 2.99, 4 K 2.99
Rh: 0.5000 0.5000 0.0000  4 Rh 2.81, 4 K 2.99, 4 Cu 2.99

---

VASP calculation (PBE) on a relaxed structure of K3CuRh.

Properties
offset from the most stable computed form = 0.000 eV per atom
uncorrected energy = -11.0 eV per cell
magnetic moment = 0.95 Bohr magnetons per cell
SG = Pm-3m (221)
ΔE_f = 0.756 eV per atom

Unit cell a=6.0503 b=6.0503 c=6.0503 alpha=90.00 beta=90.00 gamma=90.00
Last column: nearest neighbours and their distance in Å.
Element x y z (fractional)
K: 0.0000 0.5000 0.0000  2 Rh 3.03
K: 0.0000 0.0000 0.5000  2 Rh 3.03
K: 0.5000 0.0000 0.0000  2 Rh 3.03
Rh: 0.0000 0.0000 0.0000  6 K 3.03
Cu: 0.5000 0.5000 0.5000  12 K 4.28

---

VASP calculation (PBE) on a relaxed structure of KCu3Rh.

Properties
offset from the most stable computed form = 1.303 eV per atom
uncorrected energy = -11.0 eV per cell
magnetic moment = 0.00 Bohr magnetons per cell
SG = Pm-3m (221)
ΔE_f = 1.940 eV per atom

Unit cell a=4.6297 b=4.6297 c=4.6297 alpha=90.00 beta=90.00 gamma=90.00
Last column: nearest neighbours and their distance in Å.
Element x y z (fractional)
K: 0.0000 0.0000 0.0000  6 Cu 2.31
Rh: 0.5000 0.5000 0.5000  12 Cu 3.27
Cu: 0.0000 0.5000 0.0000  2 K 2.31
Cu: 0.0000 0.0000 0.5000  2 K 2.31
Cu: 0.5000 0.0000 0.0000  2 K 2.31

---

VASP calculation (PBE) on a relaxed structure of KCuRh2.

Properties
offset from the most stable computed form = 0.312 eV per atom
uncorrected energy = -17.0 eV per cell
magnetic moment = 1.02 Bohr magnetons per cell
SG = Pmmm (47)
ΔE_f = 0.712 eV per atom

Unit cell a=2.7451 b=4.9038 c=5.0883 alpha=90.00 beta=90.00 gamma=90.00
Last column: nearest neighbours and their distance in Å.
Element x y z (fractional)
Cu: 0.5000 0.0000 0.5000  2 Cu 2.75, 4 K 2.81, 4 Rh 2.89
K: 0.0000 0.5000 0.5000  2 K 2.75, 4 Cu 2.81, 4 Rh 2.89
Rh: 0.0000 0.0000 0.0000  6 Rh 2.75-2.81, 4 Cu 2.89
Rh: 0.5000 0.5000 0.0000  6 Rh 2.75-2.81, 4 K 2.89

---

VASP calculation (PBE) on a relaxed structure of KCu2Rh.

Properties
offset from the most stable computed form = 0.234 eV per atom
uncorrected energy = -14.3 eV per cell
magnetic moment = 0.00 Bohr magnetons per cell
SG = P4/mmm (123)
ΔE_f = 0.586 eV per atom

Unit cell a=4.8685 b=4.8614 c=2.8118 alpha=90.00 beta=90.00 gamma=90.00
Last column: nearest neighbours and their distance in Å.
Element x y z (fractional)
Cu: 0.0000 0.0000 0.0000  4 Rh 2.81, 4 K 2.81, 2 Cu 2.81
Cu: 0.5000 0.5000 0.0000  4 K 2.81, 4 Rh 2.81, 2 Cu 2.81
K: 0.5000 0.0000 0.5000  8 Cu 2.81, 2 K 2.81
Rh: 0.0000 0.5000 0.5000  8 Cu 2.81, 2 Rh 2.81

---

VASP calculation (PBE) on a relaxed structure of KCu2Rh.

Properties
offset from the most stable computed form = 0.245 eV per atom
uncorrected energy = -14.3 eV per cell
magnetic moment = 0.56 Bohr magnetons per cell
SG = R-3m (166)
ΔE_f = 0.597 eV per atom

Unit cell a=9.9145 b=9.9145 c=9.9145 alpha=16.41 beta=16.41 gamma=16.41
Last column: nearest neighbours and their distance in Å.
Element x y z (fractional)
Cu: 0.0130 0.0130 0.0130  3 Rh 2.63, 6 Cu 2.83
Cu: 0.4870 0.4870 0.4870  3 Rh 2.63, 6 Cu 2.83
K: 0.2500 0.2500 0.2500  6 K 2.83
Rh: 0.7500 0.7500 0.7500  6 Cu 2.63, 6 Rh 2.83

---

VASP calculation (PBE) on a relaxed structure of KCu3Rh.

Properties
offset from the most stable computed form = 0.000 eV per atom
uncorrected energy = -17.6 eV per cell
magnetic moment = 0.00 Bohr magnetons per cell
SG = Pm-3m (221)
ΔE_f = 0.636 eV per atom

Unit cell a=4.8011 b=4.8011 c=4.8011 alpha=90.00 beta=90.00 gamma=90.00
Last column: nearest neighbours and their distance in Å.
Element x y z (fractional)
K: 0.5000 0.5000 0.5000  12 Cu 3.39
Rh: 0.0000 0.0000 0.0000  6 Cu 2.40
Cu: 0.0000 0.5000 0.0000  2 Rh 2.40
Cu: 0.0000 0.0000 0.5000  2 Rh 2.40
Cu: 0.5000 0.0000 0.0000  2 Rh 2.40

---

VASP calculation (PBE) on a relaxed structure of K2Cu2Rh.

Properties
offset from the most stable computed form = 0.000 eV per atom
uncorrected energy = -14.8 eV per cell
magnetic moment = 0.55 Bohr magnetons per cell
SG = I4/mmm (139)
ΔE_f = 0.590 eV per atom

Unit cell a=3.3454 b=3.3454 c=10.8268 alpha=81.11 beta=81.11 gamma=90.00
Last column: nearest neighbours and their distance in Å.
Element x y z (fractional)
K: 0.3916 0.3916 0.2169  4 Rh 3.29, 4 K 3.35, 4 Cu 3.43
K: 0.6084 0.6084 0.7831  4 Rh 3.29, 4 K 3.35, 4 Cu 3.43
Rh: 0.0000 0.0000 0.0000  8 K 3.29, 4 Rh 3.35
Cu: 0.7500 0.2500 0.5000  4 Cu 2.37
Cu: 0.2500 0.7500 0.5000  4 Cu 2.37